Record 1
! LaErAu2 GGA-PBE relaxed; values from VASP
! - Calculated volume: 98.72 Å³/f.u.
! - M_tot: 0.002 μB/cell
! - ΔE_f: -0.8389 eV per atom
&SYSTEM
  ibrav = 0, nat = 4, ntyp = 3
/
ATOMIC_SPECIES
La 138.91 La.upf
Er 167.26 Er.upf
Au 196.97 Au.upf
ATOMIC_POSITIONS crystal
La 0.0000 0.0000 0.0000
Er 0.0000 0.0000 0.5000
Au 0.5000 0.5000 0.2806
Au 0.5000 0.5000 0.7194
CELL_PARAMETERS angstrom
3.6178 0.0000 0.0000
0.0000 3.6178 0.0000
0.0000 0.0000 7.5425

Record 2
! LaEr5Au6 GGA-PBE relaxed; values from VASP
! - Calculated volume: 281.92 Å³/f.u.
! - M_tot: 0.000 μB/cell
! - ΔE_f: -0.8545 eV per atom
&SYSTEM
  ibrav = 0, nat = 12, ntyp = 3
/
ATOMIC_SPECIES
La 138.91 La.upf
Er 167.26 Er.upf
Au 196.97 Au.upf
ATOMIC_POSITIONS crystal
La 0.0000 0.0000 0.0000
Er 0.0000 0.5000 0.0000
Er 0.3317 0.0000 0.6626
Er 0.3355 0.5000 0.6699
Er 0.6645 0.5000 0.3301
Er 0.6683 0.0000 0.3374
Au 0.1724 0.2563 0.3469
Au 0.1724 0.7437 0.3469
Au 0.5000 0.2678 0.0000
Au 0.5000 0.7322 0.0000
Au 0.8276 0.2563 0.6531
Au 0.8276 0.7437 0.6531
CELL_PARAMETERS angstrom
5.0994 0.0000 0.0000
0.0000 7.1736 0.0000
-2.5653 0.0000 7.7066

Record 3
! LaErAu6 GGA-PBE relaxed; values from VASP
! - Calculated volume: 172.32 Å³/f.u.
! - M_tot: 0.000 μB/cell
! - ΔE_f: -0.6593 eV per atom
&SYSTEM
  ibrav = 0, nat = 8, ntyp = 3
/
ATOMIC_SPECIES
La 138.91 La.upf
Er 167.26 Er.upf
Au 196.97 Au.upf
ATOMIC_POSITIONS crystal
La 0.0000 0.0000 0.0000
Er 0.5000 0.5000 0.5000
Au 0.1290 0.1290 0.3780
Au 0.2401 0.2401 0.7384
Au 0.3888 0.3888 0.1538
Au 0.6112 0.6112 0.8462
Au 0.7599 0.7599 0.2616
Au 0.8710 0.8710 0.6220
CELL_PARAMETERS angstrom
4.3765 -2.3481 0.0000
4.3765 2.3481 0.0000
-3.6912 0.0000 8.3838

Record 4
! LaEr2Au GGA-PBE relaxed; values from VASP
! - Calculated volume: 121.61 Å³/f.u.
! - M_tot: 0.000 μB/cell
! - ΔE_f: -0.2936 eV per atom
! - Relative energy among the computed polymorphs: 0.120 eV/atom
&SYSTEM
  ibrav = 0, nat = 4, ntyp = 3
/
ATOMIC_SPECIES
La 138.91 La.upf
Er 167.26 Er.upf
Au 196.97 Au.upf
ATOMIC_POSITIONS crystal
La 0.0000 0.0000 0.0000
Er 0.2327 0.2327 0.2327
Er 0.7673 0.7673 0.7673
Au 0.5000 0.5000 0.5000
CELL_PARAMETERS angstrom
1.8773 1.0839 9.9608
-1.8773 1.0839 9.9608
0.0000 -2.1678 9.9608